The following is a PBE calculation of a geometry-optimized TbCeTeN2 structure, from the Alexandria database.

a b c (Å): 7.2608 7.2608 7.2608
angles (deg): 148.15 148.15 45.67
Last column: nearest neighbours and their distance in Å.
Positions (direct):
Tb 0.0000 0.0000 0.0000  4 N 2.29
Ce 0.3390 0.3390 0.0000  4 N 2.24
Te 0.6689 0.6689 0.0000  4 Tb 3.61, 4 Ce 3.62, 8 N 3.86-3.93, 4 Te 3.98
N 0.4160 0.9160 0.5000  2 Ce 2.24, 2 Tb 2.29
N 0.9160 0.4160 0.5000  2 Ce 2.24, 2 Tb 2.29

For the uncorrected energy, the calculation gives -7.392 eV/atom. For the total magnetic moment, the calculation gives 0.00 μB/atom. As for the formation energy from raw total energies: -1.32 eV/atom.

=====

The following is a PBE calculation of a geometry-optimized ErU2MnC4 structure, from the Alexandria database.

a b c (Å): 5.8075 5.8075 11.5942
angles (deg): 90.00 90.00 144.95
Last column: nearest neighbours and their distance in Å.
Positions (direct):
Er 0.1103 0.8897 0.7500  6 C 2.67-2.68, 1 Mn 2.94
Er 0.8897 0.1103 0.2500  6 C 2.67-2.68, 1 Mn 2.94
U 0.3688 0.6312 0.5491  6 C 2.34-2.44
U 0.3688 0.6312 0.9509  6 C 2.34-2.44
U 0.6312 0.3688 0.0491  6 C 2.34-2.44
U 0.6312 0.3688 0.4509  6 C 2.34-2.44
Mn 0.1548 0.8452 0.2500  4 C 1.86-1.97
Mn 0.8452 0.1548 0.7500  4 C 1.86-1.97
C 0.0000 0.0000 0.0000  4 U 2.34
C 0.0000 0.0000 0.5000  4 U 2.34
C 0.2618 0.7382 0.1264  1 Mn 1.86
C 0.2618 0.7382 0.3736  1 Mn 1.86
C 0.4275 0.5725 0.7500  2 Mn 1.97
C 0.5725 0.4275 0.2500  2 Mn 1.97
C 0.7382 0.2618 0.6264  1 Mn 1.86
C 0.7382 0.2618 0.8736  1 Mn 1.86

For the uncorrected energy, the calculation gives -9.239 eV/atom. For the total magnetic moment, the calculation gives 0.00 μB/atom. Its formation energy is -0.09 eV/atom.

=====

The following is a PBE calculation of a geometry-optimized LiDy2Al4Pt3 structure, from the Alexandria database.

a b c (Å): 4.1324 4.1324 10.8617
angles (deg): 90.00 90.00 90.00
Last column: nearest neighbours and their distance in Å.
Positions (direct):
Li 0.0000 0.0000 0.0000  4 Al 2.52
Dy 0.0000 0.5000 0.7434  6 Pt 3.14-3.47, 8 Al 3.22-3.36, 2 Li 3.47
Dy 0.5000 0.0000 0.2566  6 Pt 3.14-3.47, 8 Al 3.22-3.36, 2 Li 3.47
Al 0.0000 0.0000 0.5000  4 Pt 2.55
Al 0.0000 0.5000 0.1324  3 Pt 2.49-2.52, 2 Li 2.52
Al 0.5000 0.0000 0.8676  3 Pt 2.49-2.52, 2 Li 2.52
Al 0.5000 0.5000 0.5000  4 Pt 2.55
Pt 0.0000 0.5000 0.3620  5 Al 2.49-2.55
Pt 0.5000 0.0000 0.6380  5 Al 2.49-2.55
Pt 0.5000 0.5000 0.0000  4 Al 2.52

For the uncorrected energy, the calculation gives -5.375 eV/atom. For the total magnetic moment, the calculation gives 0.00 μB/atom. Its formation energy is -0.95 eV/atom.

=====

The following is a PBE calculation of a geometry-optimized CdPd2SeN structure, from the Alexandria database.

a b c (Å): 4.1284 4.1284 4.9194
angles (deg): 90.00 90.00 90.00
Last column: nearest neighbours and their distance in Å.
Positions (direct):
Cd 0.0000 0.0000 0.0000  2 N 2.46
Pd 0.0000 0.5000 0.5000  2 N 2.06
Pd 0.5000 0.0000 0.5000  2 N 2.06
Se 0.5000 0.5000 0.0000  4 Cd 2.92, 8 Pd 3.21
N 0.0000 0.0000 0.5000  4 Pd 2.06

For the uncorrected energy, the calculation gives -4.310 eV/atom. For the total magnetic moment, the calculation gives 0.00 μB/atom. As for the formation energy from raw total energies: 0.31 eV/atom.

=====

The following is a PBE calculation of a geometry-optimized Cr2SbBr structure, from the Alexandria database.

a b c (Å): 6.4622 6.4622 6.4622
angles (deg): 114.44 114.44 99.94
Last column: nearest neighbours and their distance in Å.
Positions (direct):
Cr 0.1244 0.1250 0.4994  2 Br 2.68, 2 Sb 2.69
Cr 0.3750 0.8756 0.0006  2 Br 2.68, 2 Sb 2.69
Cr 0.6256 0.6250 0.5006  2 Br 2.68, 2 Sb 2.69
Cr 0.8750 0.3744 0.9994  2 Br 2.68, 2 Sb 2.69
Sb 0.2500 0.7500 0.5000  4 Cr 2.69
Sb 0.5000 0.5000 0.0000  4 Cr 2.69
Br 0.0000 0.0000 0.0000  4 Cr 2.68
Br 0.7500 0.2500 0.5000  4 Cr 2.68

For the uncorrected energy, the calculation gives -5.954 eV/atom. The energy above the most stable polymorph in this dataset comes out at 230 meV per atom. For the total magnetic moment, the calculation gives 2.00 μB/atom. As for the formation energy from raw total energies: 0.31 eV/atom.

=====

The following is a PBE calculation of a geometry-optimized TcRuRh2 structure, from the Alexandria database.

a b c (Å): 2.6915 3.9069 5.3796
angles (deg): 90.00 90.00 90.00
Last column: nearest neighbours and their distance in Å.
Positions (direct):
Tc 0.0000 0.0000 0.0000  2 Ru 2.69, 2 Tc 2.69, 8 Rh 2.73
Ru 0.0000 0.0000 0.5000  2 Tc 2.69, 2 Ru 2.69, 8 Rh 2.73
Rh 0.5000 0.5000 0.2504  4 Rh 2.69, 4 Ru 2.73, 4 Tc 2.73
Rh 0.5000 0.5000 0.7496  4 Rh 2.69, 4 Ru 2.73, 4 Tc 2.73

For the uncorrected energy, the calculation gives -8.603 eV/atom. The energy above the most stable polymorph in this dataset comes out at 60 meV per atom. For the total magnetic moment, the calculation gives 0.00 μB/atom. Its formation energy is -0.02 eV/atom.

=====

The following is a PBE calculation of a geometry-optimized CsLiB2H structure, from the Alexandria database.

a b c (Å): 5.0381 5.0381 3.5787
angles (deg): 90.00 90.00 90.00
Last column: nearest neighbours and their distance in Å.
Positions (direct):
Cs 0.0000 0.0000 0.0000  8 B 3.09
Li 0.5000 0.5000 0.0000  2 H 1.79
B 0.0000 0.5000 0.5000  2 H 2.52
B 0.5000 0.0000 0.5000  2 H 2.52
H 0.5000 0.5000 0.5000  2 Li 1.79

For the uncorrected energy, the calculation gives -2.139 eV/atom. For the total magnetic moment, the calculation gives 0.00 μB/atom.

=====

The following is a PBE calculation of a geometry-optimized K2TaOs structure, from the Alexandria database.

a b c (Å): 6.7737 6.7737 3.0420
angles (deg): 102.32 102.32 132.05
Last column: nearest neighbours and their distance in Å.
Positions (direct):
K 0.0000 0.5000 0.0000  6 K 2.75-3.04
K 0.5000 0.0000 0.0000  6 K 2.75-3.04
Ta 0.0000 0.0000 0.5000  4 Os 2.75-2.83, 2 Ta 3.04
Os 0.5000 0.5000 0.5000  4 Ta 2.75-2.83, 2 Os 3.04

For the uncorrected energy, the calculation gives -5.090 eV/atom. The energy above the most stable polymorph in this dataset comes out at 630 meV per atom. For the total magnetic moment, the calculation gives 0.00 μB/atom. Its formation energy is 1.23 eV/atom.